# 1
Material: Ti3Sn2H2
Method: DFT, PBE
State: relaxed

Summary:
**Calculated total energy**: -5.67 eV/atom
**DOS at the Fermi energy**: 0.73 states/eV/atom
**ΔE to the lowest computed polymorph**: 130 meV per atom

Structure (POSCAR):
```
Ti3Sn2H2
1.0
-2.3737 -1.2772 -1.3077
4.2317 -1.7868 -2.5045
-1.0023 -4.0510 5.7759
Sn Ti H
2 3 2
direct
0.1641 0.3283 0.7702
0.8359 0.6717 0.2298
0.5000 0.0000 0.0000
0.6131 0.2262 0.3932
0.3869 0.7738 0.6068
0.0941 0.1881 0.1906
0.9059 0.8119 0.8094
```


# 2
Material: Ti8SnH6
Method: DFT, PBE
State: relaxed

Summary:
**Calculated total energy**: -6.12 eV/atom
**DOS at the Fermi energy**: 0.76 states/eV/atom

Structure (POSCAR):
```
Ti8SnH6
1.0
-0.9221 -2.4253 -4.9442
4.9509 2.1615 -1.4121
2.1131 -4.5678 2.4182
H Ti Sn
6 8 1
direct
0.4294 0.8350 0.5295
0.8350 0.5295 0.4294
0.5706 0.1650 0.4705
0.1650 0.4705 0.5706
0.4705 0.5706 0.1650
0.5295 0.4294 0.8350
0.4531 0.1025 0.7656
0.1025 0.7656 0.4531
0.6654 0.6654 0.6654
0.3346 0.3346 0.3346
0.7656 0.4531 0.1025
0.8975 0.2344 0.5469
0.5469 0.8975 0.2344
0.2344 0.5469 0.8975
0.0000 0.0000 0.0000
```


# 3
Material: TiSnH2
Method: DFT, PBE
State: relaxed

Summary:
**Calculated total energy**: -4.15 eV/atom
**DOS at the Fermi energy**: 0.56 states/eV/atom
**ΔE to the lowest computed polymorph**: 632 meV per atom

Structure (POSCAR):
```
TiSnH2
1.0
3.3414 -2.2481 0.0207
-0.2673 -4.0011 0.3730
0.8478 -2.3762 -3.1392
Ti H Sn
1 2 1
direct
0.0000 0.0000 0.0000
0.7500 0.7500 0.7500
0.2500 0.2500 0.2500
0.5000 0.5000 0.5000
```


# 4
Material: TiSnH2
Method: DFT, PBE
State: relaxed

Summary:
**Calculated total energy**: -4.78 eV/atom
**DOS at the Fermi energy**: 0.54 states/eV/atom
**ΔE to the lowest computed polymorph**: 0 meV per atom

Structure (POSCAR):
```
TiSnH2
1.0
3.5566 0.0000 0.0000
0.0000 3.4822 -0.3064
0.0000 -1.0731 7.8455
Sn H Ti
2 4 2
direct
0.2500 0.5877 0.1776
0.7500 0.4123 0.8224
0.7500 0.0901 0.1716
0.2500 0.9099 0.8284
0.2500 0.2470 0.4947
0.7500 0.7530 0.5053
0.7500 0.2030 0.4060
0.2500 0.7970 0.5940
```


# 5
Material: Ti6Sn2H
Method: DFT, PBE
State: relaxed

Summary:
**Calculated total energy**: -6.87 eV/atom
**DOS at the Fermi energy**: 1.29 states/eV/atom
**ΔE to the lowest computed polymorph**: 0 meV per atom

Structure (POSCAR):
```
Ti6Sn2H
1.0
-1.2404 1.1468 5.6414
-5.6055 0.2880 1.7818
-2.2160 -4.2302 3.4475
Ti Sn H
6 2 1
direct
0.7515 0.2485 0.7515
0.7516 0.7516 0.2486
0.2485 0.7515 0.7515
0.2484 0.2484 0.7514
0.7515 0.2485 0.2485
0.2485 0.7515 0.2485
0.7500 0.7500 0.7501
0.2500 0.2500 0.2499
0.5000 0.5000 0.5000
```


# 6
Material: TiSn3H
Method: DFT, PBE
State: relaxed

Summary:
**Calculated total energy**: -4.36 eV/atom
**DOS at the Fermi energy**: 0.92 states/eV/atom
**ΔE to the lowest computed polymorph**: 0 meV per atom

Structure (POSCAR):
```
TiSn3H
1.0
4.5979 0.0000 0.0000
0.0000 4.5979 0.0000
0.0000 0.0000 4.5979
Sn Ti H
3 1 1
direct
0.0000 0.5000 0.0000
0.0000 0.0000 0.5000
0.5000 0.0000 0.0000
0.5000 0.5000 0.5000
0.0000 0.0000 0.0000
```